The following is a GGA-PBE calculation of an optimized crystal structure of Na2Zn2PbAu5, from Alexandria.

As for the total energy: -2.74 eV per atom. The energy of formation from the pure elements comes out at -0.216 eV per atom.

The space group is P4/mbm (No. 127) and the conventional cell measures 10.0877, 10.0877 and 4.0459 Å, with angles of 90.00, 90.00 and 90.00 degrees. The inequivalent atoms are Na at (0.1779, 0.3221, 0.0000), Zn at (0.1190, 0.6190, 0.0000), Pb at (0.0000, 0.0000, 0.0000), Au at (0.0000, 0.5000, 0.5000) and Au at (0.0638, 0.7857, 0.5000).